Record 1
The following is a PBE-GGA calculation of LaMg2Ti after structural relaxation, from the Alexandria database.

a = 8.5595 Å, b = 8.5595 Å, c = 5.7835 Å
α = 90.00°, β = 90.00°, γ = 90.00°
Fractional coordinates of all 16 atoms:
La (0.0000, 0.0000, 0.0000)
La (0.0000, 0.5000, 0.2500)
La (0.5000, 0.0000, 0.7500)
La (0.5000, 0.5000, 0.5000)
Mg (0.2082, 0.7500, 0.6250)
Mg (0.2500, 0.2082, 0.3750)
Mg (0.2500, 0.2918, 0.8750)
Mg (0.2918, 0.7500, 0.1250)
Mg (0.7082, 0.2500, 0.1250)
Mg (0.7500, 0.7082, 0.8750)
Mg (0.7500, 0.7918, 0.3750)
Mg (0.7918, 0.2500, 0.6250)
Ti (0.0000, 0.0000, 0.5000)
Ti (0.0000, 0.5000, 0.7500)
Ti (0.5000, 0.0000, 0.2500)
Ti (0.5000, 0.5000, 0.0000)

**Energy of formation from the pure elements**: 0.43 eV per atom
**Total DFT energy (no corrections)**: -14.28 eV/f.u.
**Space-group type**: I-42d
**Energy above the lowest structure with this stoichiometry**: 252.7 meV/atom

Record 2
The following is a PBE-GGA calculation of TcAs3Os after structural relaxation, from the Alexandria database.

a = 4.7755 Å, b = 4.7755 Å, c = 4.7755 Å
α = 90.00°, β = 90.00°, γ = 90.00°
Fractional coordinates of all 5 atoms:
Tc (0.0000, 0.0000, 0.0000)
As (0.0000, 0.5000, 0.5000)
As (0.5000, 0.0000, 0.5000)
As (0.5000, 0.5000, 0.0000)
Os (0.5000, 0.5000, 0.5000)

**Energy of formation from the pure elements**: 1.24 eV per atom
**Total DFT energy (no corrections)**: -29.35 eV/f.u.
**Space-group type**: Pm-3m
**Energy above the lowest structure with this stoichiometry**: 0.0 meV/atom

Record 3
The following is a PBE-GGA calculation of CsUCl6 after structural relaxation, from the Alexandria database.

a = 7.8929 Å, b = 7.8929 Å, c = 7.8929 Å
α = 55.00°, β = 55.00°, γ = 55.00°
Fractional coordinates of all 8 atoms:
Cs (0.0000, 0.0000, 0.0000)
U (0.5000, 0.5000, 0.5000)
Cl (0.0998, 0.5896, 0.5896)
Cl (0.4104, 0.4104, 0.9002)
Cl (0.4104, 0.9002, 0.4104)
Cl (0.5896, 0.0998, 0.5896)
Cl (0.5896, 0.5896, 0.0998)
Cl (0.9002, 0.4104, 0.4104)

**Total DFT energy (no corrections)**: -37.61 eV/f.u.
**Space-group type**: R-3m
**E_form (uncorrected)**: -1.80 eV/atom
**Energy above the lowest structure with this stoichiometry**: 12.9 meV/atom